Below is an optimized crystal structure of Re3Os4, with properties calculated at the PBE-GGA level.

Computed properties:
Formation energy from the elements   122 kJ/mol of formula units
Calculated volume   14.8 A^3/atom
Energy above the most stable polymorph in this dataset   72 kJ/mol of formula units

abc: 4.1164 18.4619 2.7284
angles: 90.00 90.00 90.00
With the nearest neighbours (Å) after each atom.
Space group Cmmm (No. 65)
Symmetry-distinct sites (fractional):
Re (0.0000, 0.0000, 0.0000) [2 per cell]  2 Re 2.73, 10 Os 2.78-2.81
Re (0.0000, 0.2880, 0.5000) [4 per cell]  4 Re 2.49-2.73, 5 Os 2.56-2.72
Os (0.0000, 0.1505, 0.0000) [4 per cell]  7 Re 2.72-2.88, 6 Os 2.73-2.85
Os (0.0000, 0.4268, 0.5000) [4 per cell]  5 Re 2.56-2.81, 7 Os 2.70-2.85